[1]
Below is an optimized crystal structure of CaTl2Pd7, with properties calculated at the PBE level.

## Properties
* SG: Cmmm (65)
* theoretical density: 8.701 Mg/m³
* energy relative to the elements: 0.0572 eV/atom
* total energy: -4.25 eV/atom

The structure in POSCAR format:
```
CaTl2Pd7
1.0
3.622 -7.153 0.000
3.622 7.153 0.000
0.000 0.000 4.396
Ca Tl Pd
1 2 7
direct
0.000 0.000 0.000
0.299 0.701 0.500
0.701 0.299 0.500
0.081 0.286 0.500
0.188 0.812 0.000
0.286 0.081 0.500
0.500 0.500 0.500
0.714 0.919 0.500
0.812 0.188 0.000
0.919 0.714 0.500
```

[2]
Below is an optimized crystal structure of CaTl3Pd3, with properties calculated at the PBE level.

## Properties
* excess energy over the best structure of this formula in the dataset: 0.0 meV per atom
* SG: P6_3/m (176)
* theoretical density: 9.586 Mg/m³
* energy relative to the elements: -0.2885 eV/atom
* total energy: -3.81 eV/atom

The structure in POSCAR format:
```
CaTl3Pd3
1.0
9.324 0.000 0.000
-4.662 8.075 0.000
0.000 0.000 4.474
Ca Tl Pd
2 6 6
direct
0.333 0.667 0.250
0.667 0.333 0.750
0.055 0.294 0.750
0.239 0.945 0.750
0.294 0.239 0.250
0.706 0.761 0.750
0.761 0.055 0.250
0.945 0.706 0.250
0.050 0.601 0.750
0.399 0.448 0.750
0.448 0.050 0.250
0.552 0.950 0.750
0.601 0.552 0.250
0.950 0.399 0.250
```

[3]
Below is an optimized crystal structure of Ca2TlPd, with properties calculated at the PBE level.

## Properties
* excess energy over the best structure of this formula in the dataset: 266.3 meV per atom
* SG: I-42d (122)
* theoretical density: 5.645 Mg/m³
* energy relative to the elements: -0.2683 eV/atom
* total energy: -3.16 eV/atom

The structure in POSCAR format:
```
Ca2TlPd
1.0
-4.113 4.113 3.399
4.113 -4.113 3.399
4.113 4.113 -3.399
Ca Tl Pd
4 2 2
direct
0.080 0.625 0.955
0.375 0.330 0.455
0.670 0.125 0.045
0.875 0.920 0.545
0.250 0.750 0.500
0.500 0.500 0.000
0.000 0.000 0.000
0.750 0.250 0.500
```

[4]
Below is an optimized crystal structure of CaTlPd, with properties calculated at the PBE level.

## Properties
* SG: I4mm (107)
* theoretical density: 7.100 Mg/m³
* energy relative to the elements: 0.2455 eV/atom
* total energy: -2.94 eV/atom

The structure in POSCAR format:
```
CaTlPd
1.0
-1.633 1.633 7.696
1.633 -1.633 7.696
1.633 1.633 -7.696
Ca Tl Pd
1 1 1
direct
0.000 0.000 0.000
0.658 0.658 0.000
0.833 0.833 0.000
```

[5]
Below is an optimized crystal structure of Ca3Tl2Pd6, with properties calculated at the PBE level.

## Properties
* SG: Im-3m (229)
* theoretical density: 8.066 Mg/m³
* energy relative to the elements: -0.5493 eV/atom
* total energy: -4.36 eV/atom

The structure in POSCAR format:
```
Ca3Tl2Pd6
1.0
-4.935 4.935 4.935
4.935 -4.935 4.935
4.935 4.935 -4.935
Ca Tl Pd
6 4 12
direct
0.000 0.303 0.303
0.000 0.697 0.697
0.303 0.000 0.303
0.303 0.303 0.000
0.697 0.000 0.697
0.697 0.697 0.000
0.000 0.000 0.500
0.000 0.500 0.000
0.500 0.000 0.000
0.500 0.500 0.500
0.000 0.342 0.658
0.000 0.658 0.342
0.317 0.658 0.658
0.342 0.000 0.658
0.342 0.342 0.683
0.342 0.658 0.000
0.342 0.683 0.342
0.658 0.000 0.342
0.658 0.317 0.658
0.658 0.342 0.000
0.658 0.658 0.317
0.683 0.342 0.342
```

[6]
Below is an optimized crystal structure of CaTlPd, with properties calculated at the PBE level.

## Properties
* SG: F-43m (216)
* theoretical density: 7.394 Mg/m³
* energy relative to the elements: -0.4611 eV/atom
* total energy: -3.65 eV/atom

The structure in POSCAR format:
```
CaTlPd
1.0
0.000 3.403 3.403
3.403 0.000 3.403
3.403 3.403 0.000
Ca Tl Pd
1 1 1
direct
0.000 0.000 0.000
0.500 0.500 0.500
0.750 0.750 0.750
```

[7]
Below is an optimized crystal structure of Ca6Tl3Pd, with properties calculated at the PBE level.

## Properties
* SG: P2_1/m (11)
* theoretical density: 5.411 Mg/m³
* energy relative to the elements: -0.3999 eV/atom
* total energy: -2.83 eV/atom

The structure in POSCAR format:
```
Ca6Tl3Pd
1.0
9.412 0.000 0.000
0.000 5.466 0.000
-4.056 0.000 11.453
Ca Tl Pd
12 6 2
direct
0.020 0.250 0.415
0.179 0.750 0.160
0.269 0.250 0.000
0.349 0.750 0.837
0.366 0.250 0.350
0.387 0.250 0.649
0.613 0.750 0.351
0.634 0.750 0.650
0.651 0.250 0.163
0.731 0.750 0.000
0.821 0.250 0.840
0.980 0.750 0.585
0.013 0.750 0.870
0.089 0.250 0.719
0.276 0.750 0.474
0.724 0.250 0.526
0.911 0.750 0.281
0.987 0.250 0.130
0.461 0.750 0.097
0.539 0.250 0.903
```

[8]
Below is an optimized crystal structure of CaTl5Pd, with properties calculated at the PBE level.

## Properties
* SG: P4/mmm (123)
* theoretical density: 10.266 Mg/m³
* energy relative to the elements: -0.1969 eV/atom
* total energy: -2.91 eV/atom

The structure in POSCAR format:
```
CaTl5Pd
1.0
4.888 0.000 0.000
0.000 4.888 0.000
0.000 0.000 7.909
Ca Tl Pd
1 5 1
direct
0.000 0.000 0.000
0.000 0.500 0.298
0.000 0.500 0.702
0.500 0.000 0.298
0.500 0.000 0.702
0.500 0.500 0.000
0.000 0.000 0.500
```